16
Lattice="7.495 0.000 0.000 0.000 7.495 0.000 0.000 0.000 7.495" Properties=species:S:1:pos:R:3 comment="PBE-GGA LiY2Te, optimized geometry" formation_energy_uncorrected_ev_per_atom=-0.06 e_above_lowest_polymorph_mev_per_atom=629 spacegroup="F-43m (216)" pbc="T T T"
Li 0.000 0.000 0.000
Li 0.000 3.747 3.747
Li 3.747 0.000 3.747
Li 3.747 3.747 0.000
Y 0.000 0.000 3.747
Y 0.000 3.747 0.000
Y 1.874 1.874 5.621
Y 1.874 5.621 1.874
Y 3.747 0.000 0.000
Y 3.747 3.747 3.747
Y 5.621 1.874 1.874
Y 5.621 5.621 5.621
Te 1.874 1.874 1.874
Te 1.874 5.621 5.621
Te 5.621 1.874 5.621
Te 5.621 5.621 1.874